Below is crystalline CaVB3 at its relaxed geometry, with properties calculated at the PBE level.

a b c (Å): 4.3492 4.3492 4.3492
angles (deg): 90.00 90.00 90.00
Each line ends with the local moment (μB).
Fractional coordinates of all 5 atoms:
V (0.5000, 0.5000, 0.5000)  2.37
B (0.0000, 0.0000, 0.5000)  0.08
B (0.0000, 0.5000, 0.0000)  0.08
B (0.5000, 0.0000, 0.0000)  0.08
Ca (0.0000, 0.0000, 0.0000)  0.21

Calculated values
Relative energy among the computed polymorphs   2.309 eV/atom
ΔH_f (0 K)   2753 meV/atom
Final energy   -3.478 eV/atom
Size of the total moment   3.32 μB per cell

Below is crystalline Ca2VB at its relaxed geometry, with properties calculated at the PBE level.

a b c (Å): 10.1978 10.1978 7.5090
angles (deg): 47.23 47.23 90.00
Each line ends with the local moment (μB).
Fractional coordinates of all 8 atoms:
Ca (0.2989, 0.6250, 0.2500)  0.06
Ca (0.3750, 0.5489, 0.7500)  0.06
Ca (0.4511, 0.1250, 0.2500)  0.06
Ca (0.8750, 0.7011, 0.7500)  0.06
B (0.5000, 0.5000, 0.0000)  -0.07
B (0.2500, 0.7500, 0.5000)  -0.07
V (0.7500, 0.2500, 0.5000)  2.27
V (0.0000, 0.0000, 0.0000)  2.27

Calculated values
ΔH_f (0 K)   511 meV/atom
Final energy   -4.439 eV/atom
Size of the total moment   6.29 μB per cell

Question: Among the records above, which one has the highest size of the total moment?
Answer: Ca2VB